Record 1
Density functional theory data (PBE) for a relaxed HfPaMn crystal.

abc: 11.973 11.973 11.973
angles: 16.46 16.46 16.46
Fractional positions:
Hf 0.000 0.000 0.000
Hf 0.166 0.166 0.166
Pa 0.261 0.261 0.261
Pa 0.759 0.759 0.759
Mn 0.385 0.385 0.385
Mn 0.552 0.552 0.552

Summary:
Magnetic moment = 0.0 μB per formula unit
Energy of formation from the pure elements = 218.3 meV/atom
Space-group type = R3m, No. 160
Relative energy among the computed polymorphs = 0.175 eV per atom

---

Record 2
Density functional theory data (PBE) for a relaxed Tl2GaTeS4 crystal.

abc: 8.808 8.841 6.056
angles: 90.00 90.00 90.00
Fractional positions:
Tl 0.220 0.148 0.000
Tl 0.280 0.852 0.500
Tl 0.720 0.852 0.500
Tl 0.780 0.148 0.000
Ga 0.000 0.410 0.430
Ga 0.500 0.590 0.930
Te 0.000 0.685 0.003
Te 0.500 0.315 0.503
S 0.000 0.412 0.041
S 0.000 0.666 0.510
S 0.202 0.257 0.519
S 0.298 0.743 0.019
S 0.500 0.334 0.010
S 0.500 0.588 0.541
S 0.702 0.743 0.019
S 0.798 0.257 0.519

Summary:
Magnetic moment = 0.0 μB per formula unit
Formation energy (no corrections) = -201.6 kJ/mol of formula units
Space-group type = Pmn2_1, No. 31

---

Record 3
Density functional theory data (PBE) for a relaxed Hf3SiTc crystal.

abc: 4.926 4.926 4.926
angles: 90.00 90.00 90.00
Fractional positions:
Hf 0.000 0.000 0.500
Hf 0.000 0.500 0.000
Hf 0.500 0.000 0.000
Si 0.500 0.500 0.500
Tc 0.000 0.000 0.000

Summary:
Magnetic moment = 0.0 μB per formula unit
Formation energy (no corrections) = 297.7 kJ/mol of formula units
Space-group type = Pm-3m, No. 221
Relative energy among the computed polymorphs = 0.000 eV per atom

---

Record 4
Density functional theory data (PBE) for a relaxed Cd4Sn3Hg2 crystal.

abc: 3.268 3.268 24.949
angles: 90.00 90.00 120.00
Fractional positions:
Cd 0.000 0.000 0.000
Cd 0.000 0.000 0.223
Cd 0.333 0.667 0.326
Cd 0.333 0.667 0.548
Sn 0.000 0.000 0.437
Sn 0.000 0.000 0.782
Sn 0.333 0.667 0.112
Hg 0.333 0.667 0.667
Hg 0.333 0.667 0.894

Summary:
Magnetic moment = 0.0 μB per formula unit
Energy of formation from the pure elements = 61.1 meV/atom
Space-group type = P3m1, No. 156